(1)
# CaMoOs2

A geometry-optimized CaMoOs2 structure (PBE, Alexandria via LeMat-Bulk).

Lattice parameters (Å, degrees): 3.106 3.106 7.315 90.00 90.00 90.00
Fractional positions:
Ca  0.000  0.000  0.000
Mo  0.000  0.000  0.500
Os  0.500  0.500  0.295
Os  0.500  0.500  0.705

The energy is -8.5048 eV/atom. As for the density of states at the Fermi level: 0.564 states/eV/atom. The formation energy from the elements is 30.7 kJ/mol of atoms. The calculation puts the density at 12.1 g/cm3. Its space-group type is No. 123.

***

(2)
# CaMo2Os

A geometry-optimized CaMo2Os structure (PBE, Alexandria via LeMat-Bulk).

Lattice parameters (Å, degrees): 5.333 5.333 5.029 106.03 106.03 34.01
Fractional positions:
Ca  0.000  0.000  0.000
Mo  0.215  0.215  0.665
Mo  0.785  0.785  0.335
Os  0.500  0.500  0.500

The energy is -8.2295 eV/atom. As for the density of states at the Fermi level: 0.797 states/eV/atom. The formation energy from the elements is 47.6 kJ/mol of atoms. The calculation puts the density at 9.2 g/cm3. Its space-group type is No. 12.

***

(3)
# CaMo2Os

A geometry-optimized CaMo2Os structure (PBE, Alexandria via LeMat-Bulk).

Lattice parameters (Å, degrees): 9.936 9.936 9.936 16.59 16.59 16.59
Fractional positions:
Ca  0.000  0.000  0.000
Mo  0.507  0.507  0.507
Mo  0.759  0.759  0.759
Os  0.245  0.245  0.245

The energy is -8.1188 eV/atom. As for the density of states at the Fermi level: 0.865 states/eV/atom. The formation energy from the elements is 58.3 kJ/mol of atoms. The calculation puts the density at 10.0 g/cm3. Its space-group type is No. 160.

***

(4)
# CaMoOs2

A geometry-optimized CaMoOs2 structure (PBE, Alexandria via LeMat-Bulk).

Lattice parameters (Å, degrees): 2.830 4.289 5.957 90.00 103.04 90.00
Fractional positions:
Ca  0.000  0.000  0.000
Mo  0.500  0.000  0.500
Os  0.315  0.500  0.706
Os  0.685  0.500  0.294

The energy is -8.3040 eV/atom. As for the density of states at the Fermi level: 1.048 states/eV/atom. The formation energy from the elements is 50.1 kJ/mol of atoms. The calculation puts the density at 12.2 g/cm3. Its space-group type is No. 10.

***

(5)
# CaMoOs2

A geometry-optimized CaMoOs2 structure (PBE, Alexandria via LeMat-Bulk).

Lattice parameters (Å, degrees): 5.937 5.937 5.937 103.13 103.13 123.06
Fractional positions:
Ca  0.000  0.000  0.000
Ca  0.750  0.250  0.500
Mo  0.250  0.750  0.500
Mo  0.500  0.500  0.000
Os  0.175  0.625  0.050
Os  0.375  0.425  0.550
Os  0.575  0.125  0.950
Os  0.875  0.825  0.450

The energy is -8.0046 eV/atom. As for the density of states at the Fermi level: 0.688 states/eV/atom. The formation energy from the elements is 79.0 kJ/mol of atoms. The calculation puts the density at 11.1 g/cm3. Its space-group type is No. 122.

***

(6)
# CaMoOs2

A geometry-optimized CaMoOs2 structure (PBE, Alexandria via LeMat-Bulk).

Lattice parameters (Å, degrees): 4.518 4.518 4.518 60.00 60.00 60.00
Fractional positions:
Ca  0.000  0.000  0.000
Mo  0.250  0.250  0.250
Os  0.500  0.500  0.500
Os  0.750  0.750  0.750

The energy is -8.1628 eV/atom. As for the density of states at the Fermi level: 0.959 states/eV/atom. The formation energy from the elements is 63.7 kJ/mol of atoms. The calculation puts the density at 13.2 g/cm3. Its space-group type is No. 216.

***

(7)
# CaMo2Os

A geometry-optimized CaMo2Os structure (PBE, Alexandria via LeMat-Bulk).

Lattice parameters (Å, degrees): 10.043 10.043 10.043 16.39 16.39 16.39
Fractional positions:
Ca  0.000  0.000  0.000
Mo  0.240  0.240  0.240
Mo  0.760  0.760  0.760
Os  0.500  0.500  0.500

The energy is -8.0648 eV/atom. As for the density of states at the Fermi level: 1.273 states/eV/atom. The formation energy from the elements is 63.5 kJ/mol of atoms. The calculation puts the density at 10.0 g/cm3. Its space-group type is No. 166.

***

(8)
# CaMoOs2

A geometry-optimized CaMoOs2 structure (PBE, Alexandria via LeMat-Bulk).

Lattice parameters (Å, degrees): 9.552 9.552 9.552 17.24 17.24 17.24
Fractional positions:
Ca  0.000  0.000  0.000
Mo  0.500  0.500  0.500
Os  0.243  0.243  0.243
Os  0.757  0.757  0.757

The energy is -8.3342 eV/atom. As for the density of states at the Fermi level: 0.943 states/eV/atom. The formation energy from the elements is 47.2 kJ/mol of atoms. The calculation puts the density at 12.8 g/cm3. Its space-group type is No. 166.